Version one
Computed, not measured: crystalline ZnGeBr2 at its relaxed geometry at the PBE level of DFT.

Summary:
The total moment comes out at 0.00 μB/f.u.

abc: 10.368 10.368 4.824
angles: 90.00 90.00 90.00
Element x y z (fractional)
1 Zn 0.000 0.000 0.000
2 Zn 0.000 0.500 0.250
3 Zn 0.500 0.000 0.750
4 Zn 0.500 0.500 0.500
5 Ge 0.000 0.000 0.500
6 Ge 0.000 0.500 0.750
7 Ge 0.500 0.000 0.250
8 Ge 0.500 0.500 0.000
9 Br 0.083 0.750 0.625
10 Br 0.250 0.083 0.375
11 Br 0.250 0.417 0.875
12 Br 0.417 0.750 0.125
13 Br 0.583 0.250 0.125
14 Br 0.750 0.583 0.875
15 Br 0.750 0.917 0.375
16 Br 0.917 0.250 0.625


Version two
Computed, not measured: crystalline ZnGeBr2 at its relaxed geometry at the PBE level of DFT.

Summary:
The total moment comes out at 0.00 μB/f.u.

abc: 3.646 3.646 27.110
angles: 90.00 90.00 120.00
Element x y z (fractional)
1 Zn 0.000 0.000 0.000
2 Zn 0.333 0.667 0.667
3 Zn 0.667 0.333 0.333
4 Ge 0.000 0.000 0.500
5 Ge 0.333 0.667 0.167
6 Ge 0.667 0.333 0.833
7 Br 0.000 0.000 0.393
8 Br 0.000 0.000 0.607
9 Br 0.333 0.667 0.060
10 Br 0.333 0.667 0.273
11 Br 0.667 0.333 0.727
12 Br 0.667 0.333 0.940


Version three
Computed, not measured: crystalline ZnGeBr2 at its relaxed geometry at the PBE level of DFT.

Summary:
The total moment comes out at 0.00 μB/f.u.

abc: 7.268 7.268 7.268
angles: 90.00 90.00 90.00
Element x y z (fractional)
1 Zn 0.000 0.000 0.000
2 Zn 0.000 0.500 0.500
3 Zn 0.500 0.000 0.500
4 Zn 0.500 0.500 0.000
5 Ge 0.000 0.000 0.500
6 Ge 0.000 0.500 0.000
7 Ge 0.500 0.000 0.000
8 Ge 0.500 0.500 0.500
9 Br 0.250 0.250 0.250
10 Br 0.250 0.250 0.750
11 Br 0.250 0.750 0.250
12 Br 0.250 0.750 0.750
13 Br 0.750 0.250 0.250
14 Br 0.750 0.250 0.750
15 Br 0.750 0.750 0.250
16 Br 0.750 0.750 0.750


The most stable of them is version one.


Version one
Computed, not measured: crystalline ZrGeBr3 at its relaxed geometry at the PBE level of DFT.

Summary:
The total moment comes out at 2.68 μB/f.u.

abc: 5.374 5.374 5.374
angles: 90.00 90.00 90.00
Element x y z (fractional)
1 Zr 0.000 0.000 0.000
2 Ge 0.500 0.500 0.500
3 Br 0.000 0.000 0.500
4 Br 0.000 0.500 0.000
5 Br 0.500 0.000 0.000


Version two
Computed, not measured: crystalline ZrGeBr3 at its relaxed geometry at the PBE level of DFT.

Summary:
The total moment comes out at 0.25 μB/f.u.

abc: 5.367 5.367 5.367
angles: 90.00 90.00 90.00
Element x y z (fractional)
1 Zr 0.000 0.000 0.000
2 Ge 0.500 0.500 0.500
3 Br 0.000 0.500 0.500
4 Br 0.500 0.000 0.500
5 Br 0.500 0.500 0.000


The most stable of them is version one.